Li2TmGa after structural relaxation, computed with GGA-PBE.

Computed properties:
N(E_F), states/eV per cell: 1.87
Energy of formation from the pure elements, eV/atom: -0.2581
SG: F-43m (216)
Total magnetic moment, μB per formula unit: 0.00
Offset from the most stable computed form, eV per atom: 0.000

a = 4.777 Å, b = 4.777 Å, c = 4.775 Å
α = 59.99°, β = 59.99°, γ = 60.00°
Fractional positions:
Tm1 0.717 0.717 0.848
Li1 0.217 0.217 0.348
Li2 0.967 0.967 0.098
Ga1 0.467 0.467 0.599

***

LiTm3Ga2 after structural relaxation, computed with GGA-PBE.

Computed properties:
N(E_F), states/eV per cell: 8.21
Energy of formation from the pure elements, eV/atom: -0.4109
SG: P-3m1 (164)
Total magnetic moment, μB per formula unit: 0.00
Offset from the most stable computed form, eV per atom: 0.000

a = 5.001 Å, b = 5.001 Å, c = 12.311 Å
α = 90.00°, β = 90.00°, γ = 120.00°
Fractional positions:
Ga1 0.333 0.667 0.180
Ga2 0.667 0.333 0.820
Ga3 0.000 0.000 0.500
Ga4 0.000 0.000 0.000
Tm1 0.000 0.000 0.244
Tm2 0.667 0.333 0.079
Tm3 0.000 0.000 0.756
Tm4 0.333 0.667 0.921
Tm5 0.333 0.667 0.418
Tm6 0.667 0.333 0.582
Li1 0.333 0.667 0.673
Li2 0.667 0.333 0.327

***

Li2TmGa after structural relaxation, computed with GGA-PBE.

Computed properties:
N(E_F), states/eV per cell: 5.20
Energy of formation from the pure elements, eV/atom: -0.1304
SG: P4/mmm (123)
Total magnetic moment, μB per formula unit: 0.28
Offset from the most stable computed form, eV per atom: 0.128

a = 4.840 Å, b = 4.182 Å, c = 4.182 Å
α = 90.00°, β = 90.00°, γ = 90.00°
Each line ends with the local moment (μB).
Fractional positions:
Tm1 0.500 0.000 0.000  0.11
Li1 0.000 0.500 0.000  0.01
Li2 0.000 0.000 0.500  0.01
Ga1 0.500 0.500 0.500  0.03

***

Li2TmGa9 after structural relaxation, computed with GGA-PBE.

Computed properties:
N(E_F), states/eV per cell: 5.08
Energy of formation from the pure elements, eV/atom: -0.2721
SG: P4/mmm (123)
Total magnetic moment, μB per formula unit: 0.00

a = 4.105 Å, b = 4.105 Å, c = 12.538 Å
α = 90.00°, β = 90.00°, γ = 90.00°
Fractional positions:
Ga1 0.000 0.500 0.500
Ga2 0.500 0.000 0.500
Ga3 0.500 0.000 0.178
Ga4 0.500 0.000 0.822
Ga5 0.500 0.500 0.334
Ga6 0.500 0.500 0.666
Ga7 0.000 0.500 0.178
Ga8 0.500 0.500 0.000
Ga9 0.000 0.500 0.822
Li1 0.000 0.000 0.666
Li2 0.000 0.000 0.334
Tm1 0.000 0.000 0.000

***

E_tot values (in eV per atom) by entry order: -3.090; -3.975; -2.962; -3.234.